Model w:
VASP calculation (PBE) on a geometry-optimized RuRh2W structure.

Calculated values
Total magnetic moment, μB per formula unit: 0.0
D(E_F), states/eV/f.u.: 4.1

Unit cell a=9.064 b=2.731 c=4.777 alpha=90.00 beta=99.78 gamma=90.00
Space group Cm (No. 8)
One atom of each set of equivalent atoms:
Ru: 0.000 0.000 0.000 [2 per cell]
Rh: 0.003 0.500 0.498 [2 per cell]
Rh: 0.247 0.500 0.235 [2 per cell]
W: 0.251 0.000 0.740 [2 per cell]


Model x:
VASP calculation (PBE) on a geometry-optimized RuRh2W structure.

Calculated values
Total magnetic moment, μB per formula unit: 0.0
D(E_F), states/eV/f.u.: 3.2

Unit cell a=3.845 b=3.845 c=7.831 alpha=90.00 beta=90.00 gamma=90.00
Space group I4/mmm (No. 139)
One atom of each set of equivalent atoms:
Ru: 0.000 0.000 0.000 [2 per cell]
Rh: 0.000 0.500 0.250 [4 per cell]
W: 0.000 0.000 0.500 [2 per cell]


Q: Which of them is the most stable? A: model x.


Model w:
VASP calculation (PBE) on a geometry-optimized TlReRh2 structure.

Calculated values
Total magnetic moment, μB per formula unit: 0.0
D(E_F), states/eV/f.u.: 2.4

Unit cell a=7.263 b=7.263 c=5.617 alpha=90.00 beta=90.00 gamma=90.00
Space group I-42d (No. 122)
One atom of each set of equivalent atoms:
Tl: 0.000 0.000 0.000 [4 per cell]
Re: 0.000 0.000 0.500 [4 per cell]
Rh: 0.205 0.250 0.625 [8 per cell]


Model x:
VASP calculation (PBE) on a geometry-optimized TlReRh2 structure.

Calculated values
Total magnetic moment, μB per formula unit: 0.7
D(E_F), states/eV/f.u.: 5.8

Unit cell a=4.784 b=4.784 c=2.862 alpha=90.00 beta=90.00 gamma=90.00
Space group P4/mmm (No. 123)
One atom of each set of equivalent atoms:
Tl: 0.000 0.000 0.000 [1 per cell]
Re: 0.500 0.500 0.000 [1 per cell]
Rh: 0.000 0.500 0.500 [2 per cell]


Q: Which of them is the most stable? A: model x.


Model w:
VASP calculation (PBE) on a geometry-optimized SiIr2Br structure.

Calculated values
Total magnetic moment, μB per formula unit: 0.0
D(E_F), states/eV/f.u.: 1.4

Unit cell a=2.997 b=2.976 c=15.132 alpha=90.00 beta=90.00 gamma=90.00
Space group Amm2 (No. 38)
One atom of each set of equivalent atoms:
Si: 0.000 0.000 0.000 [2 per cell]
Ir: 0.500 0.000 0.411 [2 per cell]
Ir: 0.500 0.000 0.589 [2 per cell]
Br: 0.500 0.000 0.754 [2 per cell]


Model x:
VASP calculation (PBE) on a geometry-optimized SiIr2Br structure.

Calculated values
Total magnetic moment, μB per formula unit: 0.0
D(E_F), states/eV/f.u.: 3.9

Unit cell a=2.8945 b=2.8945 c=27.5109 alpha=90.00 beta=90.00 gamma=120.00
Space group R-3m (No. 166, hexagonal axes)
One atom of each set of equivalent atoms:
Si: 0.0000 0.0000 0.0000 [3 per cell]
Ir: 0.0000 0.0000 0.2698 [6 per cell]
Br: 0.0000 0.0000 0.5000 [3 per cell]


Q: Which of them is the most stable? A: model w.


Model w:
VASP calculation (PBE) on a geometry-optimized Ta2TlSb structure.

Calculated values
Total magnetic moment, μB per formula unit: 0.0
D(E_F), states/eV/f.u.: 2.0

Unit cell a=3.512 b=5.093 c=9.261 alpha=90.00 beta=90.00 gamma=90.00
Space group Immm (No. 71)
One atom of each set of equivalent atoms:
Ta: 0.000 0.000 0.244 [4 per cell]
Tl: 0.000 0.500 0.000 [2 per cell]
Sb: 0.000 0.500 0.500 [2 per cell]


Model x:
VASP calculation (PBE) on a geometry-optimized Ta2TlSb structure.

Calculated values
Total magnetic moment, μB per formula unit: 0.0
D(E_F), states/eV/f.u.: 2.6

Unit cell a=5.044 b=5.044 c=3.169 alpha=90.00 beta=90.00 gamma=90.00
Space group P4/mmm (No. 123)
One atom of each set of equivalent atoms:
Ta: 0.000 0.500 0.000 [2 per cell]
Tl: 0.000 0.000 0.500 [1 per cell]
Sb: 0.500 0.500 0.500 [1 per cell]


Q: Which of them is the most stable? A: model w.